1.
Crystalline MnV6Ga2 at its relaxed geometry, computed with PBE.

a b c (Å): 4.1154 7.5849 7.7339
angles (deg): 90.00 90.00 90.00
With the nearest neighbours (Å) after each atom.
Atoms (fractional coordinates):
V (0.0000, 0.6807, 0.8883)  4 Ga 2.55-2.77, 4 V 2.57-2.64, 2 Mn 2.62
V (0.0000, 0.3193, 0.1117)  4 Ga 2.55-2.77, 4 V 2.57-2.64, 2 Mn 2.62
V (0.5000, 0.5165, 0.6649)  4 V 2.56-2.58, 3 Ga 2.57-2.58, 1 Mn 2.59
Ga (0.0000, 0.3522, 0.7831)  10 V 2.55-2.77
V (0.5000, 0.8169, 0.0554)  1 Mn 2.44, 5 V 2.56-2.64, 3 Ga 2.63-2.73
V (0.5000, 0.4835, 0.3351)  4 V 2.56-2.58, 3 Ga 2.57-2.58, 1 Mn 2.59
V (0.0000, 0.6831, 0.5554)  1 Mn 2.44, 5 V 2.56-2.64, 3 Ga 2.63-2.73
V (0.5000, 0.8193, 0.3883)  4 Ga 2.55-2.77, 4 V 2.57-2.64, 2 Mn 2.62
V (0.5000, 0.1831, 0.9446)  1 Mn 2.44, 5 V 2.56-2.64, 3 Ga 2.63-2.73
Ga (0.5000, 0.1478, 0.2831)  10 V 2.55-2.77
Mn (0.5000, 0.5000, 0.0000)  8 V 2.44-2.62
Ga (0.5000, 0.8522, 0.7169)  10 V 2.55-2.77
Mn (0.0000, 0.0000, 0.5000)  8 V 2.44-2.62
V (0.0000, 0.9835, 0.1649)  4 V 2.56-2.58, 3 Ga 2.57-2.58, 1 Mn 2.59
V (0.0000, 0.3169, 0.4446)  1 Mn 2.44, 5 V 2.56-2.64, 3 Ga 2.63-2.73
V (0.0000, 0.0165, 0.8351)  4 V 2.56-2.58, 3 Ga 2.57-2.58, 1 Mn 2.59
Ga (0.0000, 0.6478, 0.2169)  10 V 2.55-2.77
V (0.5000, 0.1807, 0.6117)  4 Ga 2.55-2.77, 4 V 2.57-2.64, 2 Mn 2.62

Summary:
V: 120.7 Å³/f.u.
E_form: -81 meV per atom
Electronic total energy: -7.85 eV per atom
DOS at the Fermi energy: 19.5 states/eV/cell
Space group: Pnnm
Total magnetic moment: 0.00 μB/f.u.

2.
Crystalline Mn2V2Ga at its relaxed geometry, computed with PBE.

a b c (Å): 2.9318 2.9318 14.4866
angles (deg): 90.00 90.00 90.00
With the nearest neighbours (Å) after each atom.
Atoms (fractional coordinates):
Mn (0.5000, 0.5000, 0.2984)  4 V 2.42, 4 Ga 2.57
Mn (0.0000, 0.0000, 0.6061)  8 V 2.43-2.59
V (0.5000, 0.5000, 0.7127)  8 Mn 2.42-2.59
Mn (0.0000, 0.0000, 0.7984)  4 V 2.42, 4 Ga 2.57
Ga (0.0000, 0.0000, 0.4028)  4 Mn 2.57, 5 V 2.67-2.75
V (0.0000, 0.0000, 0.0189)  4 Mn 2.43, 4 Ga 2.67
V (0.5000, 0.5000, 0.5189)  4 Mn 2.43, 4 Ga 2.67
V (0.0000, 0.0000, 0.2127)  8 Mn 2.42-2.59
Mn (0.5000, 0.5000, 0.1061)  8 V 2.43-2.59
Ga (0.5000, 0.5000, 0.9028)  4 Mn 2.57, 5 V 2.67-2.75

Summary:
V: 62.3 Å³/f.u.
E_form: -199 meV per atom
Electronic total energy: -8.12 eV per atom
DOS at the Fermi energy: 8.7 states/eV/cell
Space group: I4mm
Total magnetic moment: 0.38 μB/f.u.